# 1
A geometry-optimized Pm2PaHg structure. Source: Alexandria, functional PBE.

Output
Fermi-level density of states ... 7.1 states/eV per cell
Excess energy over the best structure of this formula in the dataset ... 323 meV/atom
Magnetization ... 0.000 μB per atom
Space-group type ... Fm-3m (225)

Unit cell a=5.398 b=5.398 c=5.398 alpha=60.00 beta=60.00 gamma=60.00
Sites, in units of the cell vectors:
Pa 0.000 0.000 0.000
Hg 0.500 0.500 0.500
Pm 0.250 0.250 0.250
Pm 0.750 0.750 0.750

# 2
A geometry-optimized Pm2PaHg structure. Source: Alexandria, functional PBE.

Output
Fermi-level density of states ... 6.7 states/eV per cell
Excess energy over the best structure of this formula in the dataset ... 99 meV/atom
Magnetization ... 0.000 μB per atom
Space-group type ... P4/mmm (123)

Unit cell a=3.462 b=5.645 c=5.645 alpha=90.00 beta=90.00 gamma=90.00
Sites, in units of the cell vectors:
Pa 0.500 0.500 0.500
Hg 0.500 0.000 0.000
Pm 0.000 0.000 0.500
Pm 0.000 0.500 0.000

# 3
A geometry-optimized Pm2PaHg structure. Source: Alexandria, functional PBE.

Output
Fermi-level density of states ... 6.0 states/eV per cell
Excess energy over the best structure of this formula in the dataset ... 302 meV/atom
Magnetization ... 0.000 μB per atom
Space-group type ... R-3m (166)

Unit cell a=3.328 b=3.328 c=12.004 alpha=82.03 beta=82.03 gamma=60.00
Sites, in units of the cell vectors:
Pa 0.000 0.000 0.000
Hg 0.500 0.500 0.500
Pm 0.091 0.091 0.726
Pm 0.909 0.909 0.274

# 4
A geometry-optimized PmPaHg6 structure. Source: Alexandria, functional PBE.

Output
Total energy ... -1.80 eV per atom
Fermi-level density of states ... 10.1 states/eV per cell
Magnetization ... 0.195 μB per atom
Space-group type ... R-3m (166)

Unit cell a=6.019 b=6.019 c=8.844 alpha=70.11 beta=70.11 gamma=60.00
Sites, in units of the cell vectors:
Pm 0.000 0.000 0.000
Pa 0.500 0.500 0.500
Hg 0.065 0.065 0.313
Hg 0.065 0.556 0.313
Hg 0.444 0.935 0.687
Hg 0.935 0.444 0.687
Hg 0.935 0.935 0.687
Hg 0.556 0.065 0.313